Compound: Gd2AuO
Source: Alexandria via LeMat-Bulk
Functional: GGA-PBE
Structure: relaxed

Cell lengths 3.537, 3.537, 8.622 Å; angles 78.16, 78.16, 60.00 degrees
Each line ends with the local moment (μB).
Sites, in units of the cell vectors:
O  0.500  0.500  0.500  -0.03
Gd  0.887  0.887  0.340  6.99
Gd  0.113  0.113  0.660  6.99
Au  0.000  0.000  0.000  0.01

Raw formation energy, meV per atom: -1176

Compound: Gd2OsAu
Source: Alexandria via LeMat-Bulk
Functional: GGA-PBE
Structure: relaxed

Cell lengths 3.436, 3.436, 7.510 Å; angles 90.00, 90.00, 90.00 degrees
Each line ends with the local moment (μB).
Sites, in units of the cell vectors:
Os  0.500  0.500  0.000  -0.13
Gd  0.000  0.000  0.772  7.03
Gd  0.000  0.000  0.228  7.03
Au  0.500  0.500  0.500  0.01

Formation enthalpy at 0 K, meV per atom: -494

Compound: PmGdOsAu
Source: Alexandria via LeMat-Bulk
Functional: GGA-PBE
Structure: relaxed

Cell lengths 5.032, 5.032, 5.032 Å; angles 60.00, 60.00, 60.00 degrees
Each line ends with the local moment (μB).
Sites, in units of the cell vectors:
Gd  0.250  0.250  0.250  7.03
Os  0.500  0.500  0.500  -0.18
Pm  0.750  0.750  0.750  0.04
Au  0.000  0.000  0.000  0.00

Formation enthalpy at 0 K, meV per atom: -374

Compound: PrGdOsAu
Source: Alexandria via LeMat-Bulk
Functional: GGA-PBE
Structure: relaxed

Cell lengths 5.070, 5.070, 5.070 Å; angles 60.00, 60.00, 60.00 degrees
Each line ends with the local moment (μB).
Sites, in units of the cell vectors:
Pr  0.250  0.250  0.250  -0.04
Gd  0.750  0.750  0.750  -7.04
Au  0.000  0.000  0.000  0.00
Os  0.500  0.500  0.500  0.20

Formation enthalpy at 0 K, meV per atom: -327

Compound: SmGdOsAu
Source: Alexandria via LeMat-Bulk
Functional: GGA-PBE
Structure: relaxed

Cell lengths 5.019, 5.019, 5.019 Å; angles 60.00, 60.00, 60.00 degrees
Each line ends with the local moment (μB).
Sites, in units of the cell vectors:
Gd  0.250  0.250  0.250  7.03
Sm  0.750  0.750  0.750  0.04
Au  0.000  0.000  0.000  0.00
Os  0.500  0.500  0.500  -0.17

Formation enthalpy at 0 K, meV per atom: -388

Compound: TbGdOsAu
Source: Alexandria via LeMat-Bulk
Functional: GGA-PBE
Structure: relaxed

Cell lengths 4.977, 4.977, 4.977 Å; angles 60.00, 60.00, 60.00 degrees
Each line ends with the local moment (μB).
Sites, in units of the cell vectors:
Au  0.000  0.000  0.000  0.00
Tb  0.750  0.750  0.750  0.04
Os  0.500  0.500  0.500  -0.15
Gd  0.250  0.250  0.250  7.01

Formation enthalpy at 0 K, meV per atom: -438

Total moment list, top to bottom, in Bohr magnetons per cell: 14.35; 14.20; 7.07; 7.07; 7.06; 7.01
Raw total energy list, top to bottom, in eV for the cell shown: -41.10; -44.64; -34.83; -34.68; -34.86; -34.97